No. 1
Material: Ba3Sr2Ag
Method: DFT, PBE-GGA
State: optimized geometry

Unit cell a=6.5427 b=8.9701 c=12.0711 alpha=79.09 beta=105.74 gamma=90.03
Last column: nearest neighbours and their distance in Å.
Element x y z (fractional)
Ag  0.0009  0.2499  0.0000  6 Ba 3.27-3.35
Sr  0.7033  0.1479  0.4066  6 Ba 4.27-4.63, 6 Sr 4.48-4.51
Ag  0.9991  0.7501  0.0000  6 Ba 3.27-3.35
Ba  0.1094  0.9445  0.2185  2 Ag 3.35
Ba  0.8906  0.0555  0.7815  2 Ag 3.35
Ba  0.5008  0.2500  0.0000  2 Ag 3.27
Ba  0.1092  0.4445  0.2183  2 Ag 3.35
Ba  0.8908  0.5555  0.7817  2 Ag 3.35
Sr  0.2968  0.3522  0.5933  6 Ba 4.27-4.63, 6 Sr 4.48-4.51
Sr  0.2967  0.8521  0.5934  6 Ba 4.27-4.63, 6 Sr 4.48-4.51
Sr  0.7032  0.6478  0.4067  6 Ba 4.27-4.63, 6 Sr 4.48-4.51
Ba  0.4992  0.7500  0.0000  2 Ag 3.27

- ρ (g/cm3) = 3.45
- ΔH_f (0 K) (eV/atom) = -0.040
- E_tot (Ha/atom) = -0.0749

***

No. 2
Material: SrSbW2Br
Method: DFT, PBE-GGA
State: optimized geometry

Unit cell a=5.8323 b=5.3759 c=5.8323 alpha=90.00 beta=90.00 gamma=90.00
Last column: nearest neighbours and their distance in Å.
Element x y z (fractional)
Sr  0.0000  0.0000  0.0000  2 Br 2.69, 4 W 2.92
W  0.0000  0.0000  0.5000  2 Sr 2.92
W  0.5000  0.0000  0.0000  2 Sr 2.92
Sb  0.5000  0.5000  0.5000  8 W 3.97, 4 Br 4.12
Br  0.0000  0.5000  0.0000  2 Sr 2.69

- ρ (g/cm3) = 5.97
- E_tot (Ha/atom) = -0.1502

***

No. 3
Material: MnFe
Method: DFT, PBE-GGA
State: optimized geometry

Unit cell a=2.4693 b=2.4693 c=7.2265 alpha=90.00 beta=90.00 gamma=90.00
Last column: nearest neighbours and their distance in Å.
Element x y z (fractional)
Fe  0.2500  0.2500  0.1286  4 Mn 2.47, 8 Fe 2.47-2.55
Mn  0.2500  0.2500  0.6298  4 Fe 2.47, 8 Mn 2.47-2.56
Mn  0.7500  0.7500  0.3702  4 Fe 2.47, 8 Mn 2.47-2.56
Fe  0.7500  0.7500  0.8714  4 Mn 2.47, 8 Fe 2.47-2.55

- ρ (g/cm3) = 8.35
- ΔH_f (0 K) (eV/atom) = 0.080
- E_tot (Ha/atom) = -0.3211

***

No. 4
Material: FeSbTe2
Method: DFT, PBE-GGA
State: optimized geometry

Unit cell a=3.1690 b=3.1690 c=9.5291 alpha=90.00 beta=90.00 gamma=90.00
Last column: nearest neighbours and their distance in Å.
Element x y z (fractional)
Sb  0.5000  0.5000  0.7500  4 Sb 3.17
Te  0.0000  0.0000  0.0768  4 Fe 2.78
Te  0.0000  0.0000  0.4232  4 Fe 2.78
Fe  0.5000  0.5000  0.2500  8 Te 2.78

- ρ (g/cm3) = 7.51
- E_tot (Ha/atom) = -0.1626

***

No. 5
Material: Th2ScCr2C4
Method: DFT, PBE-GGA
State: optimized geometry

Unit cell a=3.3573 b=6.7102 c=6.0099 alpha=107.11 beta=90.00 gamma=104.49
Last column: nearest neighbours and their distance in Å.
Element x y z (fractional)
C  0.4557  0.9114  0.2308  1 Cr 1.90
C  0.2196  0.4391  0.1953  3 Cr 2.01-2.02
Th  0.8698  0.7396  0.4682  5 C 2.62-2.72
Cr  0.6800  0.3600  0.0046  4 C 1.90-2.02
Cr  0.3200  0.6400  0.9954  4 C 1.90-2.02
Sc  0.0000  0.0000  0.0000  4 C 2.36
C  0.7804  0.5609  0.8047  3 Cr 2.01-2.02
Th  0.1302  0.2604  0.5318  5 C 2.62-2.72
C  0.5443  0.0886  0.7692  1 Cr 1.90

- ρ (g/cm3) = 8.79
- ΔH_f (0 K) (eV/atom) = -0.226
- E_tot (Ha/atom) = -0.3240

***

No. 6
Material: TbDy4Se6
Method: DFT, PBE-GGA
State: optimized geometry

Unit cell a=3.9901 b=6.9855 c=20.7514 alpha=90.00 beta=90.00 gamma=106.59
Last column: nearest neighbours and their distance in Å.
Element x y z (fractional)
Tb  0.6527  0.3054  0.2500  6 Se 2.90-2.96
Dy  0.5895  0.1790  0.8730  6 Se 2.85-2.89
Dy  0.8593  0.7186  0.5383  6 Se 2.85-2.94
Se  0.3098  0.6196  0.2500  2 Dy 2.89, 2 Tb 2.90
Se  0.7689  0.5379  0.0908  5 Dy 2.85-2.94
Se  0.0529  0.1057  0.3335  3 Dy 2.88-2.91, 2 Tb 2.96
Dy  0.1407  0.2814  0.4617  6 Se 2.85-2.94
Se  0.9471  0.8943  0.8335  3 Dy 2.88-2.91, 2 Tb 2.96
Se  0.7689  0.5379  0.4092  5 Dy 2.85-2.94
Se  0.2311  0.4622  0.5908  5 Dy 2.85-2.94
Dy  0.5895  0.1790  0.6270  6 Se 2.85-2.89
Se  0.6902  0.3804  0.7500  2 Dy 2.89, 2 Tb 2.90
Dy  0.4105  0.8210  0.3730  6 Se 2.85-2.89
Se  0.2311  0.4622  0.9092  5 Dy 2.85-2.94
Se  0.5000  0.0000  0.0000  6 Dy 2.86-2.89
Dy  0.1407  0.2814  0.0383  6 Se 2.85-2.94
Se  0.0529  0.1057  0.1665  3 Dy 2.88-2.91, 2 Tb 2.96
Tb  0.3473  0.6946  0.7500  6 Se 2.90-2.96
Se  0.5000  0.0000  0.5000  6 Dy 2.86-2.89
Dy  0.4105  0.8210  0.1270  6 Se 2.85-2.89
Se  0.9471  0.8943  0.6665  3 Dy 2.88-2.91, 2 Tb 2.96
Dy  0.8593  0.7186  0.9617  6 Se 2.85-2.94

- ρ (g/cm3) = 7.69
- E_tot (Ha/atom) = -0.2138

***

Q: Which of these has the lowest ρ?
A: Ba3Sr2Ag